(1)
# Li3Sm4Te8

Crystalline Li3Sm4Te8 at its relaxed geometry (PBE, the Alexandria database).

Properties
Density of states at the Fermi level (states/eV per atom): 0.5500
ρ (kg/m3): 5687
Symmetry: No. 12

Cell lengths 8.7846, 8.7617, 8.7617 Å; angles 90.82, 119.56, 119.56 degrees
Fractional positions:
1 Te 0.5000 0.7473 0.2527
2 Te 0.0048 0.2602 0.2602
3 Te 0.5000 0.2527 0.7473
4 Li 0.5000 0.5000 0.0000
5 Li 0.5000 0.0000 0.5000
6 Li 0.5000 0.5000 0.5000
7 Te 0.0000 0.2512 0.7488
8 Te 0.5028 0.7481 0.7481
9 Te 0.0000 0.7488 0.2512
10 Te 0.9952 0.7398 0.7398
11 Sm 0.0000 0.0000 0.0000
12 Sm 0.5000 0.0000 0.0000
13 Te 0.4972 0.2519 0.2519
14 Sm 0.0000 0.0000 0.5000
15 Sm 0.0000 0.5000 0.0000

=====

(2)
# LiSm4Te5

Crystalline LiSm4Te5 at its relaxed geometry (PBE, the Alexandria database).

Properties
Density of states at the Fermi level (states/eV per atom): 0.4707
ρ (kg/m3): 6810
Symmetry: No. 79

Cell lengths 6.2500, 7.6414, 7.6414 Å; angles 80.37, 65.86, 65.86 degrees
Fractional positions:
1 Te 0.9021 0.3837 0.8090
2 Sm 0.8012 0.7938 0.6008
3 Te 0.0948 0.6163 0.1910
4 Sm 0.1958 0.2062 0.3992
5 Sm 0.5950 0.6008 0.2062
6 Sm 0.4020 0.3992 0.7938
7 Te 0.7111 0.1910 0.3837
8 Te 0.2859 0.8090 0.6163
9 Li 0.0202 0.0000 0.0000
10 Te 0.5021 0.0000 0.0000

=====

(3)
# Li5SmTe4

Crystalline Li5SmTe4 at its relaxed geometry (PBE, the Alexandria database).

Properties
ρ (kg/m3): 4232
Symmetry: No. 71

Cell lengths 4.4516, 8.1885, 8.8189 Å; angles 117.66, 104.62, 90.00 degrees
Fractional positions:
1 Te 0.0000 0.7321 0.0000
2 Li 0.8191 0.6181 0.6383
3 Li 0.8191 0.0201 0.6383
4 Te 0.7162 0.2162 0.4324
5 Li 0.1809 0.9799 0.3617
6 Li 0.1809 0.3819 0.3617
7 Te 0.0000 0.2679 0.0000
8 Li 0.5000 0.5000 0.0000
9 Sm 0.5000 0.0000 0.0000
10 Te 0.2838 0.7838 0.5676

=====

(4)
# Li2Sm3Te4

Crystalline Li2Sm3Te4 at its relaxed geometry (PBE, the Alexandria database).

Properties
Density of states at the Fermi level (states/eV per atom): 0.4369
ρ (kg/m3): 6619
Symmetry: No. 12

Cell lengths 4.1897, 7.7486, 8.3396 Å; angles 72.83, 75.45, 74.31 degrees
Fractional positions:
1 Te 0.9216 0.7538 0.4029
2 Li 0.3161 0.9999 0.3679
3 Te 0.0784 0.2462 0.5971
4 Te 0.3186 0.2767 0.0862
5 Te 0.6814 0.7233 0.9138
6 Sm 0.3766 0.5328 0.7140
7 Sm 0.0000 0.0000 0.0000
8 Sm 0.6234 0.4672 0.2860
9 Li 0.6839 0.0001 0.6321

=====

(5)
# LiSmTe

Crystalline LiSmTe at its relaxed geometry (PBE, the Alexandria database).

Properties
Density of states at the Fermi level (states/eV per atom): 0.7367
ρ (kg/m3): 6160
ΔE to the lowest computed polymorph (kJ/mol of formula units): 74
Symmetry: No. 107

Cell lengths 3.8272, 3.8272, 5.9006 Å; angles 108.92, 108.92, 90.00 degrees
Fractional positions:
1 Li 0.6472 0.6472 0.2943
2 Te 0.2586 0.2586 0.5172
3 Sm 0.9442 0.9442 0.8885

=====

(6)
# Li3Sm5Te8

Crystalline Li3Sm5Te8 at its relaxed geometry (PBE, the Alexandria database).

Properties
Density of states at the Fermi level (states/eV per atom): 0.2501
ρ (kg/m3): 6195
Symmetry: No. 166

Cell lengths 8.7927, 8.7927, 8.7929 Å; angles 60.00, 60.00, 60.00 degrees
Fractional positions:
1 Te 0.2500 0.7600 0.7400
2 Sm 0.0000 0.5000 0.0000
3 Te 0.2500 0.2500 0.7400
4 Te 0.2464 0.2464 0.2607
5 Te 0.7500 0.2400 0.2600
6 Te 0.7536 0.7536 0.7393
7 Li 0.0000 0.5000 0.5000
8 Sm 0.5000 0.0000 0.0000
9 Te 0.2400 0.7500 0.2600
10 Sm 0.5000 0.5000 0.0000
11 Te 0.7600 0.2500 0.7400
12 Li 0.0000 0.0000 0.5000
13 Te 0.7500 0.7500 0.2600
14 Sm 0.0000 0.0000 0.0000
15 Sm 0.5000 0.5000 0.5000
16 Li 0.5000 0.0000 0.5000

=====

(7)
# LiSm3Te4

Crystalline LiSm3Te4 at its relaxed geometry (PBE, the Alexandria database).

Properties
Density of states at the Fermi level (states/eV per atom): 0.4123
ρ (kg/m3): 6618
ΔE to the lowest computed polymorph (kJ/mol of formula units): 2
Symmetry: No. 65

Cell lengths 4.3963, 7.6517, 7.6517 Å; angles 109.25, 90.00, 90.00 degrees
Fractional positions:
1 Te 0.5000 0.2437 0.7563
2 Sm 0.0000 0.5000 0.0000
3 Te 0.0000 0.7602 0.7602
4 Te 0.5000 0.7563 0.2437
5 Sm 0.5000 0.5000 0.5000
6 Te 0.0000 0.2398 0.2398
7 Sm 0.0000 0.0000 0.5000
8 Li 0.5000 0.0000 0.0000

=====

(8)
# LiSm2Te

Crystalline LiSm2Te at its relaxed geometry (PBE, the Alexandria database).

Properties
Density of states at the Fermi level (states/eV per atom): 1.1335
ρ (kg/m3): 6645
ΔE to the lowest computed polymorph (kJ/mol of formula units): 0
Symmetry: No. 123

Cell lengths 4.0177, 4.0177, 6.7384 Å; angles 90.00, 90.00, 90.00 degrees
Fractional positions:
1 Li 0.5000 0.5000 0.0000
2 Sm 0.0000 0.0000 0.2465
3 Te 0.5000 0.5000 0.5000
4 Sm 0.0000 0.0000 0.7535

=====

Which formation energy (no corrections) belongs to each record? In order, -1.199; -1.368; -1.107; -1.176; -0.694; -1.337; -1.360; -0.586 eV/atom.